Record 1
Material: CeNdTe
Method: DFT, GGA-PBE
State: relaxed

Cell: 4.201 4.424 10.235 Å, 90.00 94.70 90.00°
Fractional positions:
1 Ce 0.159 0.250 0.054
2 Ce 0.841 0.750 0.946
3 Nd 0.294 0.250 0.705
4 Nd 0.706 0.750 0.295
5 Te 0.221 0.250 0.373
6 Te 0.779 0.750 0.627

## Properties
Relative energy among the computed polymorphs ... 2.65 kcal/mol of atoms
Uncorrected energy ... -5.441 eV per atom
Uncorrected formation energy ... -80 kJ per mole of atoms
Magnetization ... 0.15 μB/f.u.

---

Record 2
Material: LaHPt2
Method: DFT, GGA-PBE
State: relaxed

Cell: 5.788 5.788 5.788 Å, 120.24 120.24 89.59°
Fractional positions:
1 La 0.375 0.625 0.750
2 La 0.625 0.375 0.250
3 H 0.125 0.875 0.250
4 H 0.875 0.125 0.750
5 Pt 0.000 0.000 0.000
6 Pt 0.000 0.000 0.500
7 Pt 0.000 0.500 0.000
8 Pt 0.500 0.000 0.500

## Properties
Relative energy among the computed polymorphs ... 0.00 kcal/mol of atoms
Uncorrected energy ... -5.676 eV per atom
Magnetization ... 0.00 μB/f.u.

---

Record 3
Material: La3CeF
Method: DFT, GGA-PBE
State: relaxed

Cell: 5.226 5.226 5.226 Å, 90.00 90.00 90.00°
Fractional positions:
1 La 0.000 0.000 0.500
2 La 0.000 0.500 0.000
3 La 0.500 0.000 0.000
4 Ce 0.500 0.500 0.500
5 F 0.000 0.000 0.000

## Properties
Uncorrected energy ... -5.487 eV per atom
Uncorrected formation energy ... -94 kJ per mole of atoms
Magnetization ... 1.32 μB/f.u.

---

Record 4
Material: TlFeAg2
Method: DFT, GGA-PBE
State: relaxed

Cell: 5.257 5.257 5.257 Å, 134.21 134.21 66.76°
Fractional positions:
1 Tl 0.000 0.000 0.000
2 Fe 0.500 0.500 0.000
3 Ag 0.250 0.750 0.500
4 Ag 0.750 0.250 0.500

## Properties
Relative energy among the computed polymorphs ... 1.34 kcal/mol of atoms
Uncorrected energy ... -3.705 eV per atom
Magnetization ... 2.90 μB/f.u.

---

Record 5
Material: CeDyHo4
Method: DFT, GGA-PBE
State: relaxed

Cell: 8.298 8.298 8.298 Å, 133.13 92.77 105.55°
Fractional positions:
1 Ce 0.000 0.000 0.000
2 Ce 0.500 0.000 0.500
3 Dy 0.500 0.000 0.000
4 Dy 0.500 0.500 0.500
5 Ho 0.165 0.666 0.499
6 Ho 0.166 0.166 0.499
7 Ho 0.166 0.667 0.001
8 Ho 0.333 0.334 0.999
9 Ho 0.667 0.666 0.001
10 Ho 0.834 0.333 0.999
11 Ho 0.834 0.834 0.501
12 Ho 0.835 0.334 0.501

## Properties
Relative energy among the computed polymorphs ... 5.88 kcal/mol of atoms
Uncorrected energy ... -4.530 eV per atom
Magnetization ... 1.51 μB/f.u.

---

Record 6
Material: K2TlHg2
Method: DFT, GGA-PBE
State: relaxed

Cell: 10.366 10.366 10.366 Å, 155.30 155.30 35.21°
Fractional positions:
1 K 0.108 0.108 0.000
2 K 0.892 0.892 0.000
3 Tl 0.500 0.500 0.000
4 Hg 0.250 0.750 0.500
5 Hg 0.750 0.250 0.500

## Properties
Relative energy among the computed polymorphs ... 2.72 kcal/mol of atoms
Uncorrected energy ... -1.130 eV per atom
Magnetization ... 0.00 μB/f.u.

---

Record 7
Material: La3Pr7In
Method: DFT, GGA-PBE
State: relaxed

Cell: 8.670 8.670 6.087 Å, 109.97 109.97 83.87°
Fractional positions:
1 La 0.000 0.000 0.000
2 La 0.207 0.793 0.500
3 La 0.793 0.207 0.500
4 Pr 0.025 0.600 0.813
5 Pr 0.220 0.220 0.709
6 Pr 0.400 0.975 0.187
7 Pr 0.500 0.500 0.500
8 Pr 0.600 0.025 0.813
9 Pr 0.780 0.780 0.291
10 Pr 0.975 0.400 0.187
11 In 0.500 0.500 0.000

## Properties
Uncorrected energy ... -4.514 eV per atom
Magnetization ... 0.00 μB/f.u.

---

Record 8
Material: Ac6OsPt2Br3
Method: DFT, GGA-PBE
State: relaxed

Cell: 10.648 10.648 9.692 Å, 110.20 110.20 23.91°
Fractional positions:
1 Ac 0.009 0.009 0.211
2 Ac 0.323 0.323 0.446
3 Ac 0.350 0.350 0.893
4 Ac 0.650 0.650 0.107
5 Ac 0.677 0.677 0.554
6 Ac 0.991 0.991 0.789
7 Os 0.500 0.500 0.000
8 Pt 0.168 0.168 0.336
9 Pt 0.832 0.832 0.664
10 Br 0.166 0.166 0.830
11 Br 0.500 0.500 0.500
12 Br 0.834 0.834 0.170

## Properties
Uncorrected energy ... -5.588 eV per atom
Uncorrected formation energy ... -113 kJ per mole of atoms
Magnetization ... 0.00 μB/f.u.

---

Record 9
Material: Mg2P3Ir5
Method: DFT, GGA-PBE
State: relaxed

Cell: 11.748 11.748 6.372 Å, 90.00 90.00 160.40°
Fractional positions:
1 Mg 0.023 0.977 0.500
2 Mg 0.324 0.676 0.554
3 Mg 0.676 0.324 0.054
4 Mg 0.977 0.023 0.000
5 P 0.106 0.894 0.236
6 P 0.280 0.720 0.116
7 P 0.458 0.542 0.286
8 P 0.542 0.458 0.786
9 P 0.720 0.280 0.616
10 P 0.894 0.106 0.736
11 Ir 0.095 0.905 0.863
12 Ir 0.194 0.806 0.381
13 Ir 0.225 0.775 0.808
14 Ir 0.380 0.620 0.054
15 Ir 0.444 0.556 0.659
16 Ir 0.556 0.444 0.159
17 Ir 0.620 0.380 0.554
18 Ir 0.775 0.225 0.308
19 Ir 0.806 0.194 0.881
20 Ir 0.905 0.095 0.363

## Properties
Uncorrected energy ... -6.824 eV per atom
Magnetization ... 0.00 μB/f.u.

---

Record 10
Material: LiLaAlNi2
Method: DFT, GGA-PBE
State: relaxed

Cell: 4.425 4.425 4.269 Å, 90.00 90.00 90.00°
Fractional positions:
1 Li 0.000 0.000 0.000
2 La 0.500 0.500 0.500
3 Al 0.000 0.000 0.500
4 Ni 0.000 0.500 0.000
5 Ni 0.500 0.000 0.000

## Properties
Uncorrected energy ... -4.280 eV per atom
Magnetization ... 0.00 μB/f.u.

---

Record 11
Material: TiAlCr2H
Method: DFT, GGA-PBE
State: relaxed

Cell: 3.748 3.748 4.010 Å, 90.00 90.00 90.00°
Fractional positions:
1 Ti 0.000 0.000 0.000
2 Al 0.500 0.500 0.000
3 Cr 0.000 0.500 0.500
4 Cr 0.500 0.000 0.500
5 H 0.000 0.000 0.500

## Properties
Uncorrected energy ... -6.935 eV per atom
Magnetization ... 0.00 μB/f.u.

---

Record 12
Material: KBaPu2O8
Method: DFT, GGA-PBE
State: relaxed

Cell: 6.738 6.738 6.738 Å, 128.48 128.48 75.85°
Fractional positions:
1 K 0.000 0.000 0.000
2 Ba 0.250 0.750 0.500
3 Pu 0.500 0.500 0.000
4 Pu 0.750 0.250 0.500
5 O 0.075 0.156 0.527
6 O 0.181 0.599 0.982
7 O 0.401 0.383 0.581
8 O 0.451 0.925 0.081
9 O 0.617 0.198 0.018
10 O 0.630 0.549 0.473
11 O 0.802 0.819 0.419
12 O 0.844 0.370 0.919

## Properties
Uncorrected energy ... -8.107 eV per atom
Uncorrected formation energy ... -209 kJ per mole of atoms
Magnetization ... 3.00 μB/f.u.

---

Record 13
Material: SbMo2
Method: DFT, GGA-PBE
State: relaxed

Cell: 5.228 5.228 5.228 Å, 142.87 142.87 53.52°
Fractional positions:
1 Sb 0.000 0.000 0.000
2 Mo 0.330 0.330 0.000
3 Mo 0.670 0.670 0.000

## Properties
Relative energy among the computed polymorphs ... 0.98 kcal/mol of atoms
Uncorrected energy ... -8.352 eV per atom
Uncorrected formation energy ... 23 kJ per mole of atoms
Magnetization ... 0.00 μB/f.u.